1.
Compound: ScCoP2
Source: Alexandria
Functional: GGA-PBE
Structure: relaxed

Properties
- ρ: 4.1 Mg/m³
- Formation enthalpy at 0 K: -0.549 eV per atom
- E above lowest polymorph: 290 meV per atom

a = 4.313 Å, b = 4.313 Å, c = 14.350 Å
α = 90.00°, β = 90.00°, γ = 90.00°
Space group I-42d (No. 122)
Inequivalent atoms, fractional coordinates:
1 Sc 0.000 0.000 0.000 (multiplicity 4)
2 Co 0.000 0.000 0.500 (multiplicity 4)
3 P 0.124 0.250 0.625 (multiplicity 8)

2.
Compound: ScCoP
Source: Alexandria
Functional: GGA-PBE
Structure: relaxed

Properties
- ρ: 4.6 Mg/m³
- Formation enthalpy at 0 K: -0.843 eV per atom

a = 7.916 Å, b = 3.823 Å, c = 6.471 Å
α = 90.00°, β = 90.00°, γ = 90.00°
Space group Pnma (No. 62)
Inequivalent atoms, fractional coordinates:
1 Sc 0.197 0.250 0.030 (multiplicity 4)
2 Co 0.073 0.250 0.419 (multiplicity 4)
3 P 0.042 0.750 0.263 (multiplicity 4)

3.
Compound: ScCoP2
Source: Alexandria
Functional: GGA-PBE
Structure: relaxed

Properties
- ρ: 4.9 Mg/m³
- Formation enthalpy at 0 K: -0.433 eV per atom
- E above lowest polymorph: 406 meV per atom

a = 4.295 Å, b = 4.295 Å, c = 3.042 Å
α = 90.00°, β = 90.00°, γ = 90.00°
Space group P4/mmm (No. 123)
Inequivalent atoms, fractional coordinates:
1 Sc 0.000 0.000 0.000 (multiplicity 1)
2 Co 0.500 0.500 0.000 (multiplicity 1)
3 P 0.000 0.500 0.500 (multiplicity 2)

4.
Compound: ScCoP
Source: Alexandria
Functional: GGA-PBE
Structure: relaxed

Properties
- ρ: 5.2 Mg/m³
- Formation enthalpy at 0 K: -0.560 eV per atom

a = 3.002 Å, b = 3.002 Å, c = 9.471 Å
α = 90.00°, β = 90.00°, γ = 90.00°
Space group I4mm (No. 107)
Inequivalent atoms, fractional coordinates:
1 Sc 0.000 0.000 0.000 (multiplicity 2)
2 Co 0.000 0.000 0.295 (multiplicity 2)
3 P 0.000 0.000 0.700 (multiplicity 2)